This record from Alexandria describes LaSmMgCu after structural relaxation. The functional is PBE-GGA.

The value obtained for the mass density is 5.88 g cm⁻³. The calculation puts the formation energy at -0.037 eV per atom.

The structure belongs to space group F-43m (No. 216); the cell edges are 7.524, 7.524 and 7.524 Å and the angles 90.00°, 90.00° and 90.00°. The inequivalent atoms are La at (0.000, 0.000, 0.000), Sm at (0.000, 0.000, 0.500), Mg at (0.250, 0.250, 0.750) and Cu at (0.250, 0.250, 0.250).

This record from Alexandria describes La2Ge6Pd21 after structural relaxation. The functional is PBE-GGA.

The value obtained for the mass density is 9.98 g cm⁻³. The calculation puts the formation energy at -0.573 eV per atom.

The structure belongs to space group Fm-3m (No. 225); the cell edges are 12.521, 12.521 and 12.521 Å and the angles 90.00°, 90.00° and 90.00°. The inequivalent atoms are La at (0.250, 0.250, 0.250), Ge at (0.000, 0.000, 0.236), Pd at (0.000, 0.000, 0.500), Pd at (0.000, 0.173, 0.327) and Pd at (0.116, 0.116, 0.116).

This record from Alexandria describes CoNi3Se after structural relaxation. The functional is PBE-GGA.

The value obtained for the formation energy from raw total energies is 4.64 eV per formula unit. The value obtained for the polymorph energy (0 for the lowest one) is 0.204 eV per atom. The value obtained for the mass density is 6.59 g cm⁻³.

The structure belongs to space group Pm-3m (No. 221); the cell edges are 4.292, 4.292 and 4.292 Å and the angles 90.00°, 90.00° and 90.00°. The inequivalent atoms are Co at (0.000, 0.000, 0.000), Ni at (0.000, 0.000, 0.500) and Se at (0.500, 0.500, 0.500).

This record from Alexandria describes Pm3SnH2 after structural relaxation. The functional is PBE-GGA.

The value obtained for the mass density is 6.66 g cm⁻³. For the electronic total energy, the calculation gives -0.1703 hartree per atom.

The structure belongs to space group C2/m (No. 12); the cell edges are 23.976, 3.681 and 6.496 Å and the angles 90.00°, 104.83° and 90.00°. The inequivalent atoms are Pm at (0.035, 0.000, 0.279), Pm at (0.104, 0.500, 0.854), Pm at (0.234, 0.000, 0.220), Sn at (0.149, 0.500, 0.412), H at (0.057, 0.000, 0.948) and H at (0.207, 0.500, 0.007).

This record from Alexandria describes AcLa2N after structural relaxation. The functional is PBE-GGA.

The value obtained for the formation energy from raw total energies is -2.43 eV per formula unit. The value obtained for the mass density is 7.08 g cm⁻³.

The structure belongs to space group R-3m (No. 166, hexagonal axes); the cell edges are 3.7699, 3.7699 and 29.6509 Å and the angles 90.00°, 90.00° and 120.00°. The inequivalent atoms are Ac at (0.0000, 0.0000, 0.0000), La at (0.0000, 0.0000, 0.2142) and N at (0.0000, 0.0000, 0.5000).

This record from Alexandria describes NaLiCaP2 after structural relaxation. The functional is PBE-GGA.

The value obtained for the mass density is 1.99 g cm⁻³. The calculation puts the formation energy at 0.080 eV per atom.

The structure belongs to space group P4/mmm (No. 123); the cell edges are 5.028, 5.028 and 4.346 Å and the angles 90.00°, 90.00° and 90.00°. The inequivalent atoms are Na at (0.000, 0.000, 0.000), Li at (0.000, 0.000, 0.500), Ca at (0.500, 0.500, 0.500) and P at (0.000, 0.500, 0.000).

This record from Alexandria describes Tl3Hg6Au after structural relaxation. The functional is PBE-GGA.

The value obtained for the mass density is 11.21 g cm⁻³. The calculation puts the formation energy at 0.014 eV per atom.

The structure belongs to space group P-3m1 (No. 164); the cell edges are 4.1075, 4.1075 and 20.4120 Å and the angles 90.00°, 90.00° and 120.00°. The inequivalent atoms are Tl at (0.0000, 0.0000, 0.0000), Tl at (0.0000, 0.0000, 0.3145), Hg at (0.3333, 0.6667, 0.1088), Hg at (0.3333, 0.6667, 0.4195), Hg at (0.3333, 0.6667, 0.7947) and Au at (0.0000, 0.0000, 0.5000).

This record from Alexandria describes Cs5Hg5Pd2 after structural relaxation. The functional is PBE-GGA.

The value obtained for the polymorph energy (0 for the lowest one) is 0.000 eV per atom. The value obtained for the mass density is 5.97 g cm⁻³. The calculation puts the formation energy at -0.197 eV per atom.

The structure belongs to space group C2/m (No. 12); the cell edges are 18.745, 4.971 and 13.972 Å and the angles 90.00°, 126.54° and 90.00°. The inequivalent atoms are Cs at (0.000, 0.000, 0.000), Cs at (0.121, 0.500, 0.825), Cs at (0.194, 0.500, 0.575), Hg at (0.000, 0.000, 0.500), Hg at (0.069, 0.000, 0.314), Hg at (0.196, 0.500, 0.164) and Pd at (0.108, 0.500, 0.266).

This record from Alexandria describes CeYCI after structural relaxation. The functional is PBE-GGA.

The value obtained for the formation energy from raw total energies is -2.75 eV per formula unit. The value obtained for the mass density is 6.47 g cm⁻³.

The structure belongs to space group R3m (No. 160, hexagonal axes); the cell edges are 3.7818, 3.7818 and 22.8852 Å and the angles 90.00°, 90.00° and 120.00°. The inequivalent atoms are Ce at (0.0000, 0.0000, 0.0000), Y at (0.0000, 0.0000, 0.7811), C at (0.0000, 0.0000, 0.3890) and I at (0.0000, 0.0000, 0.5529).

This record from Alexandria describes ZrAgAu6 after structural relaxation. The functional is PBE-GGA.

The value obtained for the mass density is 15.60 g cm⁻³. The calculation puts the formation energy at -0.249 eV per atom.

The structure belongs to space group C2/m (No. 12); the cell edges are 9.324, 4.169 and 8.551 Å and the angles 90.00°, 117.80° and 90.00°. The inequivalent atoms are Zr at (0.000, 0.000, 0.000), Ag at (0.000, 0.000, 0.500), Au at (0.003, 0.500, 0.249), Au at (0.250, 0.000, 0.375) and Au at (0.250, 0.000, 0.875).

This record from Alexandria describes Th2Be16Co after structural relaxation. The functional is PBE-GGA.

The value obtained for the mass density is 5.27 g cm⁻³. The calculation puts the formation energy at -0.123 eV per atom.

The structure belongs to space group R3m (No. 160, hexagonal axes); the cell edges are 7.9515, 7.9515 and 11.5241 Å and the angles 90.00°, 90.00° and 120.00°. The inequivalent atoms are Th at (0.0000, 0.0000, 0.0000), Th at (0.0000, 0.0000, 0.3140), Be at (0.0000, 0.0000, 0.5655), Be at (0.9996, 0.2639, 0.6618), Be at (0.0141, 0.5070, 0.4931), Be at (0.1685, 0.3371, 0.4927), Be at (0.1728, 0.3455, 0.1569) and Co at (0.0000, 0.0000, 0.7598).

This record from Alexandria describes YAlSe3 after structural relaxation. The functional is PBE-GGA.

The value obtained for the formation energy from raw total energies is -6.67 eV per formula unit. The value obtained for the polymorph energy (0 for the lowest one) is 0.037 eV per atom. The value obtained for the mass density is 4.40 g cm⁻³.

The structure belongs to space group C2/c (No. 15); the cell edges are 13.540, 11.352 and 7.228 Å and the angles 90.00°, 106.60° and 90.00°. The inequivalent atoms are Y at (0.000, 0.094, 0.250), Y at (0.000, 0.324, 0.750), Al at (0.205, 0.405, 0.248), Se at (0.110, 0.109, 0.648), Se at (0.122, 0.457, 0.493) and Se at (0.136, 0.225, 0.105).